No. 1
Entry from the Alexandria database: an optimized crystal structure of LiTi2Pb2 (PBE).

Fermi-level density of states	0.46	states/eV/atom
ΔE_f	0.0547	eV per atom
energy above the most stable polymorph in this dataset	0	meV per atom

Unit cell a=8.3357 b=8.3357 c=3.2010 alpha=90.00 beta=90.00 gamma=90.00
Space group P4/mbm (No. 127)
Unique sites:
Li  0.0000  0.0000  0.0000 (multiplicity 2)
Ti  0.1180  0.3820  0.5000 (multiplicity 4)
Pb  0.1771  0.6771  0.0000 (multiplicity 4)

***

No. 2
Entry from the Alexandria database: an optimized crystal structure of LiTiPb2 (PBE).

Fermi-level density of states	0.65	states/eV/atom
ΔE_f	-0.0577	eV per atom

Unit cell a=3.2348 b=3.2348 c=8.6216 alpha=90.00 beta=90.00 gamma=90.00
Space group P4/mmm (No. 123)
Unique sites:
Li  0.0000  0.0000  0.0000 (multiplicity 1)
Ti  0.0000  0.0000  0.5000 (multiplicity 1)
Pb  0.5000  0.5000  0.2552 (multiplicity 2)

***

No. 3
Entry from the Alexandria database: an optimized crystal structure of LiTiPb3 (PBE).

Fermi-level density of states	0.58	states/eV/atom
ΔE_f	0.1620	eV per atom
energy above the most stable polymorph in this dataset	0	meV per atom

Unit cell a=5.4304 b=5.4304 c=5.4304 alpha=90.00 beta=90.00 gamma=90.00
Space group Pm-3m (No. 221)
Unique sites:
Li  0.0000  0.0000  0.0000 (multiplicity 1)
Ti  0.5000  0.5000  0.5000 (multiplicity 1)
Pb  0.0000  0.5000  0.5000 (multiplicity 3)

***

No. 4
Entry from the Alexandria database: an optimized crystal structure of LiTiPb (PBE).

Fermi-level density of states	1.03	states/eV/atom
ΔE_f	0.1571	eV per atom

Unit cell a=3.5985 b=3.5985 c=9.4377 alpha=90.00 beta=90.00 gamma=90.00
Space group I4mm (No. 107)
Unique sites:
Li  0.0000  0.0000  0.0000 (multiplicity 2)
Ti  0.0000  0.0000  0.6658 (multiplicity 2)
Pb  0.0000  0.0000  0.3416 (multiplicity 2)

***

No. 5
Entry from the Alexandria database: an optimized crystal structure of LiTiPbW2 (PBE).

Fermi-level density of states	1.22	states/eV/atom
ΔE_f	1.5263	eV per atom

Unit cell a=4.6478 b=4.6478 c=4.8074 alpha=90.00 beta=90.00 gamma=90.00
Space group P4/mmm (No. 123)
Unique sites:
Li  0.0000  0.0000  0.0000 (multiplicity 1)
Ti  0.0000  0.0000  0.5000 (multiplicity 1)
Pb  0.5000  0.5000  0.0000 (multiplicity 1)
W  0.0000  0.5000  0.5000 (multiplicity 2)

***

No. 6
Entry from the Alexandria database: an optimized crystal structure of LiTl2Pb (PBE).

Fermi-level density of states	0.37	states/eV/atom
ΔE_f	-0.0822	eV per atom
energy above the most stable polymorph in this dataset	11	meV per atom

Unit cell a=4.7648 b=4.7648 c=9.5805 alpha=90.00 beta=90.00 gamma=90.00
Space group I4/mmm (No. 139)
Unique sites:
Li  0.0000  0.0000  0.0000 (multiplicity 2)
Tl  0.0000  0.5000  0.2500 (multiplicity 4)
Pb  0.0000  0.0000  0.5000 (multiplicity 2)